Record 1
Compound: Th2Ag3Pd2
Source: Alexandria
Functional: PBE
Structure: relaxed

a b c (Å): 4.124 20.337 3.776
angles (deg): 90.00 90.00 90.00
Space group Cmmm (No. 65)
Unique sites:
Th1 0.000 0.161 0.000 (multiplicity 4)
Ag1 0.000 0.000 0.000 (multiplicity 2)
Ag2 0.000 0.433 0.500 (multiplicity 4)
Pd1 0.000 0.296 0.500 (multiplicity 4)

energy of formation from the pure elements: -392 meV/atom



Record 2
Compound: Ce3SnRu
Source: Alexandria
Functional: PBE
Structure: relaxed

a b c (Å): 15.933 5.743 6.039
angles (deg): 90.00 105.75 90.00
Space group C2/m (No. 12)
Unique sites:
Ce1 0.054 0.000 0.304 (multiplicity 4)
Ce2 0.108 0.500 0.952 (multiplicity 4)
Ce3 0.212 0.500 0.612 (multiplicity 4)
Sn1 0.173 0.000 0.828 (multiplicity 4)
Ru1 0.055 0.500 0.362 (multiplicity 4)

energy of formation from the pure elements: -342 meV/atom
distance to the lowest polymorph of the same formula: 92 meV per atom



Record 3
Compound: PrUBiN2
Source: Alexandria
Functional: PBE
Structure: relaxed

a b c (Å): 3.971 3.971 13.220
angles (deg): 90.00 90.00 90.00
Space group I4mm (No. 107)
Unique sites:
Pr1 0.000 0.000 0.000 (multiplicity 2)
U1 0.000 0.000 0.328 (multiplicity 2)
Bi1 0.000 0.000 0.671 (multiplicity 2)
N1 0.000 0.500 0.395 (multiplicity 4)



Quick rundown of E, same order as above: -5.22; -6.56; -8.52 eV per atom